No. 1
Below is a relaxed structure of UTa2Hg2Se6, with properties calculated at the PBE level.

Cell and atoms, written as CIF:
```
data_UTa2Hg2Se6
_chemical_formula_sum 'U2 Ta4 Hg4 Se12'
_symmetry_space_group_name_H-M 'C 1 2/m 1'
_symmetry_Int_Tables_number 12
_cell_length_a 6.195
_cell_length_b 11.102
_cell_length_c 9.784
_cell_angle_alpha 90.00
_cell_angle_beta 104.19
_cell_angle_gamma 90.00
loop_
_symmetry_equiv_pos_as_xyz
'x,y,z'
'-x,-y,-z'
'-x,y,-z'
'x,-y,z'
'x+1/2,y+1/2,z'
'-x+1/2,-y+1/2,-z'
'-x+1/2,y+1/2,-z'
'x+1/2,-y+1/2,z'
loop_
_atom_site_label
_atom_site_type_symbol
_atom_site_fract_x
_atom_site_fract_y
_atom_site_fract_z
U1 U 0.000 0.000 0.000
Ta1 Ta 0.000 0.324 0.000
Hg1 Hg 0.000 0.163 0.500
Se1 Se 0.212 0.500 0.170
Se2 Se 0.239 0.174 0.177
```

No. 2
Below is a relaxed structure of Ta2VHg2Se6, with properties calculated at the PBE level.

Cell and atoms, written as CIF:
```
data_Ta2VHg2Se6
_chemical_formula_sum 'Ta4 V2 Hg4 Se12'
_symmetry_space_group_name_H-M 'C 1 2/m 1'
_symmetry_Int_Tables_number 12
_cell_length_a 6.018
_cell_length_b 10.417
_cell_length_c 9.817
_cell_angle_alpha 90.00
_cell_angle_beta 102.84
_cell_angle_gamma 90.00
loop_
_symmetry_equiv_pos_as_xyz
'x,y,z'
'-x,-y,-z'
'-x,y,-z'
'x,-y,z'
'x+1/2,y+1/2,z'
'-x+1/2,-y+1/2,-z'
'-x+1/2,y+1/2,-z'
'x+1/2,-y+1/2,z'
loop_
_atom_site_label
_atom_site_type_symbol
_atom_site_fract_x
_atom_site_fract_y
_atom_site_fract_z
Ta1 Ta 0.000 0.167 0.000
V1 V 0.000 0.500 0.000
Hg1 Hg 0.000 0.330 0.500
Se1 Se 0.225 0.337 0.170
Se2 Se 0.235 0.000 0.170
```

No. 3
Below is a relaxed structure of YTaHgSe2, with properties calculated at the PBE level.

Cell and atoms, written as CIF:
```
data_YTaHgSe2
_chemical_formula_sum 'Y1 Ta1 Hg1 Se2'
_symmetry_space_group_name_H-M 'P 4/m m m'
_symmetry_Int_Tables_number 123
_symmetry_space_group_name_Hall '-P 4 2'
_cell_length_a 5.376
_cell_length_b 5.376
_cell_length_c 5.600
_cell_angle_alpha 90.00
_cell_angle_beta 90.00
_cell_angle_gamma 90.00
loop_
_atom_site_label
_atom_site_type_symbol
_atom_site_fract_x
_atom_site_fract_y
_atom_site_fract_z
Y1 Y 0.000 0.000 0.000
Ta1 Ta 0.500 0.500 0.500
Hg1 Hg 0.000 0.000 0.500
Se1 Se 0.000 0.500 0.000
```

No. 4
Below is a relaxed structure of TaZnHg2Se, with properties calculated at the PBE level.

Cell and atoms, written as CIF:
```
data_TaZnHg2Se
_chemical_formula_sum 'Ta1 Zn1 Hg2 Se1'
_symmetry_space_group_name_H-M 'P 4/m m m'
_symmetry_Int_Tables_number 123
_symmetry_space_group_name_Hall '-P 4 2'
_cell_length_a 5.376
_cell_length_b 5.376
_cell_length_c 5.175
_cell_angle_alpha 90.00
_cell_angle_beta 90.00
_cell_angle_gamma 90.00
loop_
_atom_site_label
_atom_site_type_symbol
_atom_site_fract_x
_atom_site_fract_y
_atom_site_fract_z
Ta1 Ta 0.000 0.000 0.000
Zn1 Zn 0.000 0.000 0.500
Hg1 Hg 0.000 0.500 0.000
Se1 Se 0.500 0.500 0.500
```

No. 5
Below is a relaxed structure of TbHg2Se, with properties calculated at the PBE level.

Cell and atoms, written as CIF:
```
data_TbHg2Se
_chemical_formula_sum 'Tb3 Hg6 Se3'
_symmetry_space_group_name_H-M 'R -3 m'
_symmetry_Int_Tables_number 166
_symmetry_space_group_name_Hall '-R 3 2"'
_cell_length_a 3.5166
_cell_length_b 3.5166
_cell_length_c 31.8522
_cell_angle_alpha 90.00
_cell_angle_beta 90.00
_cell_angle_gamma 120.00
loop_
_atom_site_label
_atom_site_type_symbol
_atom_site_fract_x
_atom_site_fract_y
_atom_site_fract_z
Tb1 Tb 0.0000 0.0000 0.0000
Hg1 Hg 0.0000 0.0000 0.0946
Se1 Se 0.0000 0.0000 0.5000
```

No. 6
Below is a relaxed structure of Tb4HgSe5, with properties calculated at the PBE level.

Cell and atoms, written as CIF:
```
data_Tb4HgSe5
_chemical_formula_sum 'Tb8 Hg2 Se10'
_symmetry_space_group_name_H-M 'C 1 2/m 1'
_symmetry_Int_Tables_number 12
_cell_length_a 19.035
_cell_length_b 4.075
_cell_length_c 9.045
_cell_angle_alpha 90.00
_cell_angle_beta 107.80
_cell_angle_gamma 90.00
loop_
_symmetry_equiv_pos_as_xyz
'x,y,z'
'-x,-y,-z'
'-x,y,-z'
'x,-y,z'
'x+1/2,y+1/2,z'
'-x+1/2,-y+1/2,-z'
'-x+1/2,y+1/2,-z'
'x+1/2,-y+1/2,z'
loop_
_atom_site_label
_atom_site_type_symbol
_atom_site_fract_x
_atom_site_fract_y
_atom_site_fract_z
Tb1 Tb 0.016 0.000 0.231
Tb2 Tb 0.173 0.500 0.573
Hg1 Hg 0.000 0.500 0.500
Se1 Se 0.000 0.500 0.000
Se2 Se 0.128 0.000 0.743
Se3 Se 0.172 0.000 0.344
```

No. 7
Below is a relaxed structure of Tb5Hg2Se2, with properties calculated at the PBE level.

Cell and atoms, written as CIF:
```
data_Tb5Hg2Se2
_chemical_formula_sum 'Tb20 Hg8 Se8'
_symmetry_space_group_name_H-M 'C m c e'
_symmetry_Int_Tables_number 64
_symmetry_space_group_name_Hall '-C 2ac 2'
_cell_length_a 15.082
_cell_length_b 7.736
_cell_length_c 8.034
_cell_angle_alpha 90.00
_cell_angle_beta 90.00
_cell_angle_gamma 90.00
loop_
_atom_site_label
_atom_site_type_symbol
_atom_site_fract_x
_atom_site_fract_y
_atom_site_fract_z
Tb1 Tb 0.000 0.000 0.000
Tb2 Tb 0.132 0.169 0.337
Hg1 Hg 0.206 0.000 0.000
Se1 Se 0.000 0.140 0.647
```

No. 8
Below is a relaxed structure of Tb3HgSe, with properties calculated at the PBE level.

Cell and atoms, written as CIF:
```
data_Tb3HgSe
_chemical_formula_sum 'Tb12 Hg4 Se4'
_symmetry_space_group_name_H-M 'P n m a'
_symmetry_Int_Tables_number 62
_cell_length_a 9.005
_cell_length_b 4.006
_cell_length_c 15.341
_cell_angle_alpha 90.00
_cell_angle_beta 90.00
_cell_angle_gamma 90.00
loop_
_symmetry_equiv_pos_as_xyz
'x,y,z'
'-x,-y,-z'
'-x+1/2,-y,z+1/2'
'x+1/2,y,-z+1/2'
'x+1/2,-y+1/2,-z+1/2'
'-x+1/2,y+1/2,z+1/2'
'-x,y+1/2,-z'
'x,-y+1/2,z'
loop_
_atom_site_label
_atom_site_type_symbol
_atom_site_fract_x
_atom_site_fract_y
_atom_site_fract_z
Tb1 Tb 0.021 0.250 0.110
Tb2 Tb 0.156 0.250 0.542
Tb3 Tb 0.181 0.750 0.283
Hg1 Hg 0.090 0.750 0.691
Se1 Se 0.183 0.250 0.949
```

Computed raw total energy, in the same sequence as the records: -64.12, -61.19, -22.17, -12.03, -8.08, -51.11, -38.52, -22.13 eV/f.u..
Computed uncorrected formation energy, in the same sequence as the records: -0.692, -0.623, 0.684, 1.037, 0.160, -1.486, -0.866, -0.891 eV/atom.